Entry 1:
Below is a relaxed structure of Pu3H5, with properties calculated at the GGA-PBE level.

Density of states at the Fermi level, states/eV per cell: 42.5
Crystal system: monoclinic
Space-group type: No. 8
Final energy, eV/cell: -122.808

Geometry as extended XYZ:
```
16
Lattice="5.241 0.511 2.207 1.634 6.218 0.688 0.386 0.256 6.409" Properties=species:S:1:pos:R:3 pbc="T T T"
Pu 4.258 3.523 2.951
Pu 3.992 0.437 1.983
Pu 1.034 1.561 3.559
Pu 6.194 5.478 5.732
Pu 1.974 0.437 6.775
Pu 2.852 3.523 6.290
H 2.415 5.729 5.481
H 0.853 2.110 5.791
H 2.353 3.317 4.114
H 3.374 5.729 3.203
H 4.585 4.670 7.242
H 2.504 2.110 1.870
H 4.040 1.352 6.222
H 4.810 3.704 5.149
H 6.150 4.670 3.526
H 5.040 1.352 3.848
```

---

Entry 2:
Below is a relaxed structure of ReSi2Se, with properties calculated at the GGA-PBE level.

Density of states at the Fermi level, states/eV per cell: 2.8
Crystal system: orthorhombic
Space-group type: No. 47
Uncorrected formation energy, eV per atom: 0.67
Final energy, eV/cell: -24.089

Geometry as extended XYZ:
```
4
Lattice="3.049 0.000 0.000 0.000 4.727 0.000 0.000 0.000 4.260" Properties=species:S:1:pos:R:3 pbc="T T T"
Re 1.524 0.000 2.130
Se 0.000 2.363 2.130
Si 0.000 0.000 0.000
Si 1.524 2.363 0.000
```

---

Entry 3:
Below is a relaxed structure of Tl3Br, with properties calculated at the GGA-PBE level.

Density of states at the Fermi level, states/eV per cell: 2.2
Crystal system: orthorhombic
Space-group type: No. 47
Uncorrected formation energy, eV per atom: -0.28
Final energy, eV/cell: -9.885

Geometry as extended XYZ:
```
4
Lattice="4.277 0.000 0.000 0.000 4.485 0.000 0.000 0.000 6.840" Properties=species:S:1:pos:R:3 pbc="T T T"
Tl 2.138 2.242 5.193
Tl 0.000 0.000 3.420
Tl 2.138 2.242 1.646
Br 0.000 0.000 0.000
```

---

Entry 4:
Below is a relaxed structure of AgN2Cl, with properties calculated at the GGA-PBE level.

Density of states at the Fermi level, states/eV per cell: 3.1
Crystal system: cubic
Space-group type: No. 225
Uncorrected formation energy, eV per atom: 2.57
Final energy, eV/cell: -11.072

Geometry as extended XYZ:
```
4
Lattice="0.000 2.936 2.936 2.936 0.000 2.936 2.936 2.936 0.000" Properties=species:S:1:pos:R:3 pbc="T T T"
N 1.468 1.468 1.468
N 4.403 4.403 4.403
Ag 2.936 2.936 2.936
Cl 0.000 0.000 0.000
```

---

Entry 5:
Below is a relaxed structure of ZnInHg2H, with properties calculated at the GGA-PBE level.

Density of states at the Fermi level, states/eV per cell: 2.5
Crystal system: tetragonal
Space-group type: No. 123
Final energy, eV/cell: -7.175

Geometry as extended XYZ:
```
5
Lattice="-3.422 4.424 0.454 -3.093 -1.956 -4.253 -1.925 -1.714 2.189" Properties=species:S:1:pos:R:3 pbc="T T T"
H -0.963 -0.857 1.094
Zn 0.000 0.000 0.000
Hg -1.547 -0.978 -2.126
Hg -1.711 2.212 0.227
In -4.220 0.377 -0.805
```

---

Entry 6:
Below is a relaxed structure of CdHgGe2W, with properties calculated at the GGA-PBE level.

Density of states at the Fermi level, states/eV per cell: 2.4
Crystal system: tetragonal
E_form, eV/atom: 1.74
Space-group type: No. 123
Final energy, eV/cell: -14.719

Geometry as extended XYZ:
```
5
Lattice="5.137 0.000 0.000 0.000 5.171 0.000 0.000 0.000 5.137" Properties=species:S:1:pos:R:3 pbc="T T T"
Ge 0.000 0.000 2.569
Ge 2.569 0.000 0.000
Hg 0.000 0.000 0.000
W 2.569 2.585 2.569
Cd 0.000 2.585 0.000
```

---

Entry 7:
Below is a relaxed structure of ZnAsBr, with properties calculated at the GGA-PBE level.

Density of states at the Fermi level, states/eV per cell: 1.9
Crystal system: trigonal
Space-group type: No. 156
Uncorrected formation energy, eV per atom: -0.02
Final energy, eV/cell: -7.667

Geometry as extended XYZ:
```
3
Lattice="-1.466 -2.629 -1.606 3.343 0.574 -0.368 1.415 -4.427 5.956" Properties=species:S:1:pos:R:3 pbc="T T T"
As 1.283 -4.013 5.398
Br 0.755 -3.495 1.409
Zn 2.669 -3.401 3.131
```

---

Entry 8:
Below is a relaxed structure of Tm2Ga6Cu, with properties calculated at the GGA-PBE level.

Density of states at the Fermi level, states/eV per cell: 4.5
Crystal system: orthorhombic
E_form, eV/atom: -0.34
Space-group type: No. 38
Final energy, eV/cell: -34.289

Geometry as extended XYZ:
```
9
Lattice="-4.175 -0.093 -0.081 0.106 -3.243 -1.747 2.013 -5.381 10.112" Properties=species:S:1:pos:R:3 pbc="T T T"
Tm -0.049 -3.591 6.664
Tm -2.161 -5.436 9.961
Ga -2.118 -2.283 4.110
Ga 0.021 -3.997 3.534
Ga 0.037 -2.777 1.270
Ga -2.101 -1.037 1.798
Ga -0.014 -6.510 8.198
Ga -2.092 -5.868 6.881
Cu -2.076 -4.726 4.760
```

---

Entry 9:
Below is a relaxed structure of Mg2AgSb2, with properties calculated at the GGA-PBE level.

Density of states at the Fermi level, states/eV per cell: 3.2
Crystal system: tetragonal
Space-group type: No. 127
Uncorrected formation energy, eV per atom: -0.05
Final energy, eV/cell: -29.023

Geometry as extended XYZ:
```
10
Lattice="8.436 0.000 0.000 0.000 8.436 0.000 0.000 0.000 3.428" Properties=species:S:1:pos:R:3 pbc="T T T"
Sb 2.793 7.011 0.000
Sb 7.011 5.644 0.000
Sb 5.644 1.426 0.000
Sb 1.426 2.793 0.000
Mg 1.116 5.334 1.714
Mg 5.334 7.320 1.714
Mg 7.320 3.102 1.714
Mg 3.102 1.116 1.714
Ag 0.000 0.000 0.000
Ag 4.218 4.218 0.000
```

---

Entry 10:
Below is a relaxed structure of Y2Tm2Ga4Cu, with properties calculated at the GGA-PBE level.

Density of states at the Fermi level, states/eV per cell: 6.6
Crystal system: tetragonal
E_form, eV/atom: -0.35
Space-group type: No. 139
Final energy, eV/cell: -41.253

Geometry as extended XYZ:
```
9
Lattice="6.457 0.176 0.253 -2.945 5.748 -0.253 -2.945 -2.257 5.293" Properties=species:S:1:pos:R:3 pbc="T T T"
Y 0.283 3.835 1.260
Y 0.283 -0.168 4.033
Tm -4.061 2.407 3.474
Tm -1.829 1.084 1.565
Ga -2.945 3.805 1.093
Ga -1.139 2.734 3.947
Ga -2.945 -0.314 3.947
Ga 1.705 0.933 1.346
Cu 0.000 0.000 0.000
```

---

Entry 11:
Below is a relaxed structure of GdYTmOs, with properties calculated at the GGA-PBE level.

Density of states at the Fermi level, states/eV per cell: 3.8
Crystal system: cubic
E_form, eV/atom: 0.13
Space-group type: No. 216
Final energy, eV/cell: -35.723

Geometry as extended XYZ:
```
4
Lattice="5.124 0.000 0.000 2.562 4.437 0.000 2.562 1.479 4.184" Properties=species:S:1:pos:R:3 pbc="T T T"
Gd 7.686 4.437 3.138
Y 2.562 1.479 1.046
Tm 5.124 2.958 2.092
Os 0.000 0.000 0.000
```

---

Entry 12:
Below is a relaxed structure of NiMoRuRh, with properties calculated at the GGA-PBE level.

Density of states at the Fermi level, states/eV per cell: 4.7
Crystal system: cubic
E_form, eV/atom: 0.08
Space-group type: No. 216
Final energy, eV/cell: -32.929

Geometry as extended XYZ:
```
4
Lattice="-2.222 -1.986 -3.080 0.207 -4.264 -0.383 -3.394 -2.411 1.021" Properties=species:S:1:pos:R:3 pbc="T T T"
Ru -1.352 -2.165 -0.610
Mo -2.704 -4.330 -1.221
Rh -4.056 -6.495 -1.831
Ni 0.000 0.000 0.000
```